Material: LaTaTe2N
Method: DFT, GGA-PBE
State: relaxed

Summary:
Total moment: 2.26 Bohr magnetons per cell
Symmetry: P4/mmm
Formation energy (no corrections): 0.8958 eV/atom

Lattice parameters (Å, degrees): 6.1167 6.1167 3.9840 90.00 90.00 90.00
Fractional positions:
La1 0.0000 0.0000 0.0000
Ta1 0.5000 0.5000 0.5000
Te1 0.0000 0.5000 0.0000
Te2 0.5000 0.0000 0.0000
N1 0.0000 0.0000 0.5000

Material: LaTaTe2N
Method: DFT, GGA-PBE
State: relaxed

Summary:
Total moment: 0.00 Bohr magnetons per cell
Symmetry: P4/mmm
Formation energy (no corrections): -0.6750 eV/atom

Lattice parameters (Å, degrees): 5.6106 5.6106 3.9782 90.00 90.00 90.00
Fractional positions:
La1 0.0000 0.0000 0.0000
Ta1 0.5000 0.5000 0.5000
Te1 0.0000 0.5000 0.5000
Te2 0.5000 0.0000 0.5000
N1 0.5000 0.5000 0.0000

Material: La2TaTeN
Method: DFT, GGA-PBE
State: relaxed

Summary:
Total moment: 0.00 Bohr magnetons per cell
Symmetry: P4/mmm
Formation energy (no corrections): -0.8525 eV/atom

Lattice parameters (Å, degrees): 5.3652 5.3652 4.1082 90.00 90.00 90.00
Fractional positions:
La1 0.0000 0.5000 0.0000
La2 0.5000 0.0000 0.0000
Ta1 0.0000 0.0000 0.5000
Te1 0.5000 0.5000 0.5000
N1 0.0000 0.0000 0.0000